# 1
{"formula": "TbScCdOs", "functional": "PBE", "state": "relaxed", "density_g_cm3": 10.15, "magmom_total_mub_per_cell": 0.00, "space_group": "No. 216", "e_form_kj_per_mol_atoms": -22, "de_polymorph_mev_per_atom": 127.2, "cell": [[4.8937, 0.0000, 0.0000], [2.4469, 4.2381, 0.0000], [2.4469, 1.4127, 3.9957]], "species": ["Cd", "Os", "Sc", "Tb"], "frac_coords": [[0.7500, 0.7500, 0.7500], [0.2500, 0.2500, 0.2500], [0.0000, 0.0000, 0.0000], [0.5000, 0.5000, 0.5000]]}

# 2
{"formula": "Pm2DySc2", "functional": "PBE", "state": "relaxed", "density_g_cm3": 5.92, "magmom_total_mub_per_cell": 0.00, "space_group": "No. 15", "e_form_kj_per_mol_atoms": 16, "de_polymorph_mev_per_atom": 0.0, "cell": [[8.9044, -1.5056, 0.1323], [-3.3224, 8.3974, 0.1323], [-2.3220, -2.8668, 4.2499]], "species": ["Sc", "Sc", "Sc", "Sc", "Pm", "Pm", "Pm", "Pm", "Dy", "Dy"], "frac_coords": [[0.6266, 0.3734, 0.7500], [0.7426, 0.2574, 0.2500], [0.2574, 0.7426, 0.7500], [0.3734, 0.6266, 0.2500], [0.1821, 0.3081, 0.4952], [0.3081, 0.1821, 0.9952], [0.6919, 0.8179, 0.0048], [0.8179, 0.6919, 0.5048], [0.8446, 0.1554, 0.7500], [0.1554, 0.8446, 0.2500]]}

# 3
{"formula": "Pr8Zn2Ni", "functional": "PBE", "state": "relaxed", "density_g_cm3": 6.74, "magmom_total_mub_per_cell": 0.00, "space_group": "No. 12", "e_form_kj_per_mol_atoms": -11, "de_polymorph_mev_per_atom": 0.0, "cell": [[5.2380, 0.0000, 0.0000], [0.0000, 6.8896, 0.4578], [-2.6190, -2.4012, 8.8343]], "species": ["Pr", "Pr", "Pr", "Pr", "Pr", "Pr", "Pr", "Pr", "Zn", "Zn", "Ni"], "frac_coords": [[0.0252, 0.7795, 0.0503], [0.9748, 0.2205, 0.9497], [0.7976, 0.6864, 0.5953], [0.2024, 0.3136, 0.4047], [0.4103, 0.5576, 0.8206], [0.6548, 0.9604, 0.3096], [0.3452, 0.0396, 0.6904], [0.5897, 0.4424, 0.1794], [0.8070, 0.2542, 0.6139], [0.1930, 0.7458, 0.3861], [0.5000, 0.0000, 0.0000]]}

# 4
{"formula": "MoPd5Au", "functional": "PBE", "state": "relaxed", "density_g_cm3": 10.44, "magmom_total_mub_per_cell": 0.00, "space_group": "No. 15", "e_form_kj_per_mol_atoms": 29, "cell": [[-3.2382, 5.7370, 0.3919], [-5.0473, -4.1030, -1.1152], [-2.7728, -0.3854, 5.8448]], "species": ["Pd", "Pd", "Pd", "Pd", "Pd", "Pd", "Pd", "Pd", "Pd", "Pd", "Mo", "Mo", "Au", "Au"], "frac_coords": [[0.4349, 0.7908, 0.0410], [0.3599, 0.1988, 0.6230], [0.2092, 0.5651, 0.4590], [0.7837, 0.2163, 0.2500], [0.8012, 0.6401, 0.8770], [0.2163, 0.7837, 0.7500], [0.7908, 0.4349, 0.5410], [0.6401, 0.8012, 0.3770], [0.5651, 0.2092, 0.9590], [0.1988, 0.3599, 0.1230], [0.4601, 0.5399, 0.7500], [0.5399, 0.4601, 0.2500], [0.0000, 0.0000, 0.0000], [0.0000, 0.0000, 0.5000]]}

# 5
{"formula": "SrCu2Mo", "functional": "PBE", "state": "relaxed", "density_g_cm3": 6.89, "magmom_total_mub_per_cell": 2.58, "space_group": "No. 216", "e_form_kj_per_mol_atoms": 90, "de_polymorph_mev_per_atom": 528.4, "cell": [[4.7299, 0.0000, 0.0000], [2.3650, 4.0963, 0.0000], [2.3650, 1.3654, 3.8620]], "species": ["Sr", "Cu", "Cu", "Mo"], "frac_coords": [[0.2500, 0.2500, 0.2500], [0.0000, 0.0000, 0.0000], [0.7500, 0.7500, 0.7500], [0.5000, 0.5000, 0.5000]]}

# 6
{"formula": "SrSb2Te4", "functional": "PBE", "state": "relaxed", "e_form_raw_ev_per_atom": -0.5046, "density_g_cm3": 5.68, "magmom_total_mub_per_cell": 0.00, "space_group": "No. 63", "cell": [[4.4351, 0.0000, 0.0000], [-2.2175, 7.2463, 0.0000], [0.0000, 0.0000, 15.3101]], "species": ["Te", "Te", "Te", "Te", "Te", "Te", "Te", "Te", "Sr", "Sr", "Sb", "Sb", "Sb", "Sb"], "frac_coords": [[0.7727, 0.5454, 0.1139], [0.5000, 0.0000, 0.5000], [0.2273, 0.4546, 0.6139], [0.2273, 0.4546, 0.8861], [0.0527, 0.1053, 0.2500], [0.7727, 0.5454, 0.3861], [0.9473, 0.8947, 0.7500], [0.5000, 0.0000, 0.0000], [0.6107, 0.2214, 0.7500], [0.3893, 0.7786, 0.2500], [0.1341, 0.2682, 0.0691], [0.8659, 0.7318, 0.9309], [0.8659, 0.7318, 0.5691], [0.1341, 0.2682, 0.4309]]}

# 7
{"formula": "Ca2YCu", "functional": "PBE", "state": "relaxed", "density_g_cm3": 3.36, "magmom_total_mub_per_cell": 0.00, "space_group": "No. 139", "e_form_kj_per_mol_atoms": 23, "de_polymorph_mev_per_atom": 293.1, "cell": [[6.3238, 0.0008, 0.0000], [2.9641, 5.5861, 0.0000], [-4.6439, -2.7934, 3.2589]], "species": ["Y", "Ca", "Ca", "Cu"], "frac_coords": [[0.7500, 0.2500, 0.5000], [0.0000, 0.0000, 0.0000], [0.5000, 0.5000, 0.0000], [0.2500, 0.7500, 0.5000]]}

# 8
{"formula": "Li2ScZn", "functional": "PBE", "state": "relaxed", "density_g_cm3": 2.79, "magmom_total_mub_per_cell": 0.25, "space_group": "No. 123", "e_form_kj_per_mol_atoms": 5, "cell": [[2.9404, 0.0383, 0.0000], [-0.0381, 2.9404, 0.0000], [0.0000, 0.0000, 8.5623]], "species": ["Li", "Li", "Zn", "Sc"], "frac_coords": [[0.0000, 0.0000, 0.5403], [0.0000, 0.0000, 0.9597], [0.5000, 0.5000, 0.7500], [0.5000, 0.5000, 0.2500]]}

# 9
{"formula": "AcSnPb2", "functional": "PBE", "state": "relaxed", "density_g_cm3": 9.80, "magmom_total_mub_per_cell": 0.00, "space_group": "No. 123", "e_form_kj_per_mol_atoms": -25, "de_polymorph_mev_per_atom": 179.3, "cell": [[-1.9861, -2.3132, 2.9732], [3.0899, -2.9230, -0.2101], [3.5932, 3.4339, 5.0719]], "species": ["Pb", "Pb", "Ac", "Sn"], "frac_coords": [[0.0000, 0.0000, 0.2204], [0.0000, 0.0000, 0.7796], [0.5000, 0.5000, 0.5000], [0.5000, 0.5000, 0.0000]]}

# 10
{"formula": "ScPa2Pt9", "functional": "PBE", "state": "relaxed", "density_g_cm3": 17.86, "magmom_total_mub_per_cell": 1.06, "space_group": "No. 123", "e_form_kj_per_mol_atoms": -98, "cell": [[-3.8366, 1.3137, -0.8004], [-1.3462, -3.9079, 0.0387], [-2.2177, 0.8835, 12.0811]], "species": ["Pa", "Pa", "Pt", "Pt", "Pt", "Pt", "Pt", "Pt", "Pt", "Pt", "Pt", "Sc"], "frac_coords": [[0.0000, 0.0000, 0.6727], [0.0000, 0.0000, 0.3273], [0.5000, 0.5000, 0.0000], [0.5000, 0.0000, 0.5000], [0.0000, 0.5000, 0.5000], [0.0000, 0.5000, 0.8393], [0.5000, 0.0000, 0.8393], [0.5000, 0.0000, 0.1607], [0.5000, 0.5000, 0.6705], [0.5000, 0.5000, 0.3295], [0.0000, 0.5000, 0.1607], [0.0000, 0.0000, 0.0000]]}

# 11
{"formula": "RbPuSn2I8", "functional": "PBE", "state": "relaxed", "e_form_raw_ev_per_atom": -0.8106, "density_g_cm3": 4.64, "magmom_total_mub_per_cell": 5.00, "space_group": "No. 2", "cell": [[7.8260, 0.0380, 0.0072], [0.1002, 7.4610, 0.0025], [0.0227, 0.0257, 9.7028]], "species": ["I", "I", "I", "I", "I", "I", "I", "I", "Rb", "Sn", "Sn", "Pu"], "frac_coords": [[0.8413, 0.2571, 0.2179], [0.8419, 0.2578, 0.7818], [0.6226, 0.7298, 0.4985], [0.6732, 0.7583, 0.0005], [0.3774, 0.2702, 0.5015], [0.3268, 0.2417, 0.9995], [0.1587, 0.7429, 0.7821], [0.1581, 0.7422, 0.2182], [0.0000, 0.0000, 0.5000], [0.4997, 0.4995, 0.7495], [0.5003, 0.5005, 0.2505], [0.0000, 0.0000, 0.0000]]}

# 12
{"formula": "PmAlAg", "functional": "PBE", "state": "relaxed", "density_g_cm3": 6.72, "magmom_total_mub_per_cell": 0.00, "space_group": "No. 12", "e_form_kj_per_mol_atoms": -37, "de_polymorph_mev_per_atom": 0.0, "cell": [[-4.1594, 2.0656, 0.4923], [-4.6260, -3.8333, -0.8496], [-2.1910, -0.4054, 5.3405]], "species": ["Ag", "Ag", "Al", "Al", "Pm", "Pm"], "frac_coords": [[0.8264, 0.2293, 0.1179], [0.1736, 0.7707, 0.8821], [0.8399, 0.6079, 0.7122], [0.1601, 0.3921, 0.2878], [0.5405, 0.2021, 0.7170], [0.4595, 0.7979, 0.2830]]}

no.,raw total energy (eV/atom)
1,-6.0018
2,-5.1912
3,-4.3468
4,-5.4219
5,-4.2435
6,-3.7179
7,-3.3981
8,-2.8073
9,-4.1398
10,-7.6525
11,-3.7862
12,-4.1676